Crystalline CdAs2F8 at its relaxed geometry, computed with PBE-GGA.

Cell: 9.9267 7.6240 5.1248 Å, 90.00 99.09 90.00°
Closest atoms and distances in Å follow each position.
Space group C2/m (No. 12)
Symmetry-distinct sites (fractional):
Cd (0.0000, 0.0000, 0.0000) [2 per cell]  2 F 2.09
As (0.2137, 0.5000, 0.5229) [4 per cell]  3 F 1.82-1.85
F (0.1004, 0.5000, 0.7693) [4 per cell]  1 As 1.82
F (0.1252, 0.0000, 0.7076) [4 per cell]  1 Cd 2.09, 1 As 2.13
F (0.1780, 0.1657, 0.2824) [8 per cell]  1 As 1.85

The calculation puts the energy relative to the elements, uncorrected at -22.82 eV/f.u. The calculation puts the density of states at the Fermi level at 0.00 states/eV/cell. The raw total energy comes out at -4.364 eV/atom.